[1]
Compound: LiEuLu2
Source: Alexandria via LeMat-Bulk
Functional: GGA-PBE
Structure: optimized geometry

Computed properties:
**Formation enthalpy at 0 K**: 153 meV/atom
**Spin magnetization**: 7.995 μB per cell

Cell: 3.626 3.626 8.828 Å, 90.00 90.00 90.00°
Space group P4/mmm (No. 123)
Asymmetric unit:
Li: 0.000 0.000 0.000 [1 per cell]
Eu: 0.000 0.000 0.500 [1 per cell]
Lu: 0.500 0.500 0.202 [2 per cell]



[2]
Compound: V8ReW2
Source: Alexandria via LeMat-Bulk
Functional: GGA-PBE
Structure: optimized geometry

Computed properties:
**Formation enthalpy at 0 K**: 7 meV/atom
**Spin magnetization**: 0.000 μB per cell

Cell: 4.877 13.645 4.743 Å, 90.00 90.00 90.00°
Space group Cmmm (No. 65)
Asymmetric unit:
V: 0.000 0.000 0.244 [4 per cell]
V: 0.000 0.405 0.000 [4 per cell]
V: 0.248 0.338 0.500 [8 per cell]
Re: 0.000 0.500 0.500 [2 per cell]
W: 0.000 0.199 0.000 [4 per cell]



[3]
Compound: Nd2MgPa
Source: Alexandria via LeMat-Bulk
Functional: GGA-PBE
Structure: optimized geometry

Computed properties:
**Formation enthalpy at 0 K**: 315 meV/atom
**Spin magnetization**: 0.000 μB per cell

Cell: 3.2871 3.2871 37.3071 Å, 90.00 90.00 120.00°
Space group R-3m (No. 166, hexagonal axes)
Asymmetric unit:
Nd: 0.0000 0.0000 0.0870 [6 per cell]
Mg: 0.0000 0.0000 0.5000 [3 per cell]
Pa: 0.0000 0.0000 0.0000 [3 per cell]



[4]
Compound: NdThCu
Source: Alexandria via LeMat-Bulk
Functional: GGA-PBE
Structure: optimized geometry

Computed properties:
**Formation enthalpy at 0 K**: -27 meV/atom
**Spin magnetization**: 0.000 μB per cell

Cell: 3.632 3.632 12.190 Å, 90.00 90.00 90.00°
Space group I4mm (No. 107)
Asymmetric unit:
Nd: 0.000 0.000 0.000 [2 per cell]
Th: 0.000 0.000 0.290 [2 per cell]
Cu: 0.000 0.000 0.658 [2 per cell]



[5]
Compound: AcTcPH
Source: Alexandria via LeMat-Bulk
Functional: GGA-PBE
Structure: optimized geometry

Computed properties:
**Final energy**: -0.4869 Ry per atom
**Spin magnetization**: 0.000 μB per cell

Cell: 4.193 4.193 8.230 Å, 90.00 90.00 90.00°
Space group P4/nmm (No. 129, origin choice 2)
Asymmetric unit:
Ac: 0.250 0.250 0.180 [2 per cell]
Tc: 0.250 0.750 0.500 [2 per cell]
P: 0.250 0.250 0.638 [2 per cell]
H: 0.250 0.750 0.000 [2 per cell]



[6]
Compound: ThFeGe2
Source: Alexandria via LeMat-Bulk
Functional: GGA-PBE
Structure: optimized geometry

Computed properties:
**Formation enthalpy at 0 K**: -537 meV/atom
**Spin magnetization**: 2.790 μB per cell

Cell: 4.227 17.140 4.178 Å, 90.00 90.00 90.00°
Space group Cmmm (No. 65)
Asymmetric unit:
Th: 0.000 0.144 0.000 [4 per cell]
Fe: 0.000 0.429 0.500 [4 per cell]
Ge: 0.000 0.000 0.500 [2 per cell]
Ge: 0.000 0.293 0.500 [4 per cell]
Ge: 0.000 0.500 0.000 [2 per cell]



[7]
Compound: Sr2RuW
Source: Alexandria via LeMat-Bulk
Functional: GGA-PBE
Structure: optimized geometry

Computed properties:
**Formation enthalpy at 0 K**: 1009 meV/atom
**Spin magnetization**: 8.107 μB per cell

Cell: 11.469 11.469 4.674 Å, 90.00 90.00 90.00°
Space group I-42d (No. 122)
Asymmetric unit:
Sr: 0.077 0.250 0.125 [8 per cell]
Ru: 0.000 0.000 0.000 [4 per cell]
W: 0.000 0.000 0.500 [4 per cell]



[8]
Compound: Sr2LiTl6Cd
Source: Alexandria via LeMat-Bulk
Functional: GGA-PBE
Structure: optimized geometry

Computed properties:
**Formation enthalpy at 0 K**: -168 meV/atom
**Spin magnetization**: 0.000 μB per cell

Cell: 6.319 7.599 7.747 Å, 86.64 66.48 65.60°
Space group P-1 (No. 2)
Asymmetric unit:
Sr: 0.235 0.271 0.258 [2 per cell]
Li: 0.000 0.000 0.000 [1 per cell]
Tl: 0.191 0.819 0.299 [2 per cell]
Tl: 0.246 0.590 0.920 [2 per cell]
Tl: 0.308 0.182 0.706 [2 per cell]
Cd: 0.500 0.500 0.500 [1 per cell]



[9]
Compound: Na3Tb3HoSe8
Source: Alexandria via LeMat-Bulk
Functional: GGA-PBE
Structure: optimized geometry

Computed properties:
**E_form (uncorrected)**: -37.5 kcal/mol of atoms
**Spin magnetization**: 0.000 μB per cell

Cell: 8.2682 8.2682 21.1644 Å, 90.00 90.00 120.00°
Space group R-3m (No. 166, hexagonal axes)
Asymmetric unit:
Na: 0.0000 0.5000 0.0000 [9 per cell]
Tb: 0.0000 0.5000 0.5000 [9 per cell]
Ho: 0.0000 0.0000 0.5000 [3 per cell]
Se: 0.0000 0.0000 0.2439 [6 per cell]
Se: 0.0019 0.5009 0.2424 [18 per cell]



[10]
Compound: IrSe2F
Source: Alexandria via LeMat-Bulk
Functional: GGA-PBE
Structure: optimized geometry

Computed properties:
**E_form (uncorrected)**: -13.9 kcal/mol of atoms
**Spin magnetization**: 0.000 μB per cell

Cell: 5.769 3.620 6.915 Å, 90.00 109.31 90.00°
Space group P2_1/m (No. 11)
Asymmetric unit:
Ir: 0.196 0.250 0.496 [2 per cell]
Se: 0.014 0.250 0.765 [2 per cell]
Se: 0.484 0.750 0.693 [2 per cell]
F: 0.267 0.750 0.015 [2 per cell]



[11]
Compound: CsUPtO6
Source: Alexandria via LeMat-Bulk
Functional: GGA-PBE
Structure: optimized geometry

Computed properties:
**E_form (uncorrected)**: -43.3 kcal/mol of atoms
**Spin magnetization**: 0.000 μB per cell

Cell: 7.295 7.933 10.796 Å, 90.00 90.00 90.00°
Space group Imma (No. 74)
Asymmetric unit:
Cs: 0.000 0.250 0.120 [4 per cell]
U: 0.000 0.000 0.500 [4 per cell]
Pt: 0.250 0.250 0.750 [4 per cell]
O: 0.000 0.250 0.427 [4 per cell]
O: 0.000 0.250 0.817 [4 per cell]
O: 0.197 0.070 0.625 [16 per cell]



[12]
Compound: Se2NClF
Source: Alexandria via LeMat-Bulk
Functional: GGA-PBE
Structure: optimized geometry

Computed properties:
**E_form (uncorrected)**: 34.3 kcal/mol of atoms
**Spin magnetization**: 1.887 μB per cell

Cell: 5.724 5.724 3.214 Å, 90.00 90.00 90.00°
Space group P4/mmm (No. 123)
Asymmetric unit:
Se: 0.000 0.500 0.000 [2 per cell]
N: 0.000 0.000 0.500 [1 per cell]
Cl: 0.000 0.000 0.000 [1 per cell]
F: 0.500 0.500 0.500 [1 per cell]



[13]
Compound: Ac3Ce4Se8
Source: Alexandria via LeMat-Bulk
Functional: GGA-PBE
Structure: optimized geometry

Computed properties:
**E_form (uncorrected)**: -42.2 kcal/mol of atoms
**Spin magnetization**: 10.517 μB per cell

Cell: 12.260 12.272 8.614 Å, 90.00 134.51 90.00°
Space group C2/m (No. 12)
Asymmetric unit:
Ac: 0.000 0.000 0.000 [2 per cell]
Ac: 0.250 0.250 0.500 [4 per cell]
Ce: 0.000 0.500 0.000 [2 per cell]
Ce: 0.000 0.500 0.500 [2 per cell]
Ce: 0.250 0.250 0.000 [4 per cell]
Se: 0.000 0.254 0.500 [4 per cell]
Se: 0.000 0.255 0.000 [4 per cell]
Se: 0.241 0.500 0.489 [4 per cell]
Se: 0.242 0.500 0.994 [4 per cell]



[14]
Compound: Ac12LaNd6
Source: Alexandria via LeMat-Bulk
Functional: GGA-PBE
Structure: optimized geometry

Computed properties:
**Formation enthalpy at 0 K**: 164 meV/atom
**Spin magnetization**: 0.000 μB per cell

Cell: 14.3234 14.3234 13.8571 Å, 90.00 90.00 120.00°
Space group R-3m (No. 166, hexagonal axes)
Asymmetric unit:
Ac: 0.0000 0.2627 0.0000 [18 per cell]
Ac: 0.0559 0.5280 0.1152 [18 per cell]
La: 0.0000 0.0000 0.0000 [3 per cell]
Nd: 0.0874 0.1748 0.7721 [18 per cell]



[15]
Compound: SiAgIr
Source: Alexandria via LeMat-Bulk
Functional: GGA-PBE
Structure: optimized geometry

Computed properties:
**E_form (uncorrected)**: 0.2 kcal/mol of atoms
**Spin magnetization**: 0.000 μB per cell

Cell: 2.8890 2.8890 6.4109 Å, 90.00 90.00 120.00°
Space group P3m1 (No. 156)
Asymmetric unit:
Si: 0.0000 0.0000 0.0000 [1 per cell]
Ag: 0.6667 0.3333 0.3426 [1 per cell]
Ir: 0.3333 0.6667 0.7264 [1 per cell]



[16]
Compound: MgTe2Au
Source: Alexandria via LeMat-Bulk
Functional: GGA-PBE
Structure: optimized geometry

Computed properties:
**E_form (uncorrected)**: -5.2 kcal/mol of atoms
**Spin magnetization**: 0.000 μB per cell

Cell: 4.1491 4.1491 21.2146 Å, 90.00 90.00 120.00°
Space group R3m (No. 160, hexagonal axes)
Asymmetric unit:
Mg: 0.0000 0.0000 0.0000 [3 per cell]
Te: 0.0000 0.0000 0.5768 [3 per cell]
Te: 0.0000 0.0000 0.7518 [3 per cell]
Au: 0.0000 0.0000 0.1654 [3 per cell]



[17]
Compound: TiNb2Bi
Source: Alexandria via LeMat-Bulk
Functional: GGA-PBE
Structure: optimized geometry

Computed properties:
**Formation enthalpy at 0 K**: -76 meV/atom
**Spin magnetization**: 0.000 μB per cell

Cell: 3.586 19.340 4.653 Å, 90.00 90.00 90.00°
Space group Cmcm (No. 63)
Asymmetric unit:
Ti: 0.000 0.174 0.250 [4 per cell]
Nb: 0.000 0.051 0.750 [4 per cell]
Nb: 0.000 0.437 0.750 [4 per cell]
Bi: 0.000 0.326 0.250 [4 per cell]



[18]
Compound: CsCdRe
Source: Alexandria via LeMat-Bulk
Functional: GGA-PBE
Structure: optimized geometry

Computed properties:
**Formation enthalpy at 0 K**: 633 meV/atom
**Spin magnetization**: 0.000 μB per cell

Cell: 26.830 4.446 3.773 Å, 90.00 92.65 90.00°
Space group C2/m (No. 12)
Asymmetric unit:
Cs: 0.161 0.000 0.304 [4 per cell]
Cd: 0.053 0.500 0.768 [4 per cell]
Re: 0.027 0.000 0.259 [4 per cell]



[19]
Compound: TbNdRe4
Source: Alexandria via LeMat-Bulk
Functional: GGA-PBE
Structure: optimized geometry

Computed properties:
**Formation enthalpy at 0 K**: -41 meV/atom
**Spin magnetization**: 0.000 μB per cell

Cell: 7.737 7.737 7.737 Å, 90.00 90.00 90.00°
Space group F-43m (No. 216)
Asymmetric unit:
Tb: 0.000 0.000 0.000 [4 per cell]
Nd: 0.250 0.250 0.750 [4 per cell]
Re: 0.125 0.125 0.375 [16 per cell]



[20]
Compound: Nb6NiN
Source: Alexandria via LeMat-Bulk
Functional: GGA-PBE
Structure: optimized geometry

Computed properties:
**E_form (uncorrected)**: -5.2 kcal/mol of atoms
**Spin magnetization**: 0.001 μB per cell

Cell: 4.848 5.295 5.438 Å, 97.42 110.99 90.61°
Space group P-1 (No. 2)
Asymmetric unit:
Nb: 0.065 0.286 0.145 [2 per cell]
Nb: 0.212 0.846 0.451 [2 per cell]
Nb: 0.408 0.394 0.744 [2 per cell]
Ni: 0.500 0.000 0.000 [1 per cell]
N: 0.000 0.500 0.500 [1 per cell]



Number 1: DOS(E_F) 4.84 states/eV per cell. Number 2: DOS(E_F) 19.38 states/eV per cell. Number 3: DOS(E_F) 20.62 states/eV per cell. Number 4: DOS(E_F) 8.49 states/eV per cell. Number 5: DOS(E_F) 3.78 states/eV per cell. Number 6: DOS(E_F) 10.25 states/eV per cell. Number 7: DOS(E_F) 18.87 states/eV per cell. Number 8: DOS(E_F) 4.78 states/eV per cell. Number 9: DOS(E_F) 20.38 states/eV per cell. Number 10: DOS(E_F) 0.38 states/eV per cell. Number 11: DOS(E_F) 17.53 states/eV per cell. Number 12: DOS(E_F) 2.25 states/eV per cell. Number 13: DOS(E_F) 57.62 states/eV per cell. Number 14: DOS(E_F) 85.44 states/eV per cell. Number 15: DOS(E_F) 1.32 states/eV per cell. Number 16: DOS(E_F) 9.14 states/eV per cell. Number 17: DOS(E_F) 13.49 states/eV per cell. Number 18: DOS(E_F) 8.22 states/eV per cell. Number 19: DOS(E_F) 32.82 states/eV per cell. Number 20: DOS(E_F) 8.13 states/eV per cell.